Entry 1:
# K2TaTl

An optimized crystal structure of K2TaTl (PBE, Alexandria).

Cell and atoms, written as POSCAR:
```
K2TaTl
1.0
3.1858 0.0000 0.0000
0.0000 4.5841 0.0000
0.0000 0.0000 10.3430
K Ta Tl
2 1 1
Direct
0.0000 0.0000 0.0000
0.5000 0.5000 0.3887
0.0000 0.0000 0.6589
0.5000 0.5000 0.7406
```

Computed properties:
volume: 37.76 Å³ per atom
ΔE_f: 761 meV/atom
N(E_F): 3.7 states/eV per cell
E above lowest polymorph: 0 meV per atom
total moment: 0.879 μB/cell

---

Entry 2:
# Pm2ThIn3Te6

An optimized crystal structure of Pm2ThIn3Te6 (PBE, Alexandria).

Cell and atoms, written as POSCAR:
```
Pm2ThIn3Te6
1.0
3.8409 -6.6510 0.0000
3.8409 6.6510 0.0000
-2.5580 0.0000 8.2618
Pm Th In Te
2 1 3 6
Direct
0.1664 0.8336 0.0000
0.8336 0.1664 0.0000
0.5000 0.5000 0.0000
0.0000 0.0000 0.5000
0.3321 0.6679 0.5000
0.6679 0.3321 0.5000
0.0938 0.4243 0.7722
0.2464 0.2464 0.2291
0.4243 0.0938 0.7722
0.5757 0.9062 0.2278
0.7536 0.7536 0.7709
0.9062 0.5757 0.2278
```

Computed properties:
volume: 35.18 Å³ per atom
uncorrected energy: -54.933 eV per cell
N(E_F): 4.4 states/eV per cell
total moment: 0.000 μB/cell

---

- total moment of number 1 (K2TaTl)?
  0.879 μB/cell

---

- What is the N(E_F) in the second record?
  4.4 states/eV per cell

---

- Among the records above, which one has the highest volume?
  K2TaTl

---

- Which formula does entry 1 have?
  K2TaTl